{"formula": "Hf2AlReIr", "functional": "GGA-PBE", "state": "relaxed", "mass_density_g_cm3": 10.8, "final_energy_ev_per_cell": -41.38, "ef_ev_per_atom": 0.716, "cell": [[-3.876, 2.631, 1.589], [-0.251, -2.730, 3.909], [3.063, 3.089, 2.355]], "species": ["Ir", "Hf", "Re", "Al", "Hf"], "frac_coords": [[0.000, 0.000, 0.000], [0.000, 0.000, 0.500], [0.000, 0.500, 0.000], [0.500, 0.500, 0.500], [0.500, 0.000, 0.000]]}